Entry from the Alexandria database: a geometry-optimized Ca4Pa3IrN8 structure (PBE).

- total DFT energy (no corrections) (eV per cell) = -130.946
- energy relative to the elements, uncorrected (eV per atom) = -1.187
- crystal system = monoclinic
- space-group type = C2/m (12)
- DOS at the Fermi energy (states/eV/atom) = 0.00
- total moment (μB per cell) = 0.0

a b c (Å): 7.1375 7.1375 6.7808
angles (deg): 118.10 118.10 55.85
Closest atoms and distances in Å follow each position.
Sites, in units of the cell vectors:
Ca: 0.0000 0.0000 0.0000  6 N 2.30-2.54
Ca: 0.0000 0.5000 0.5000  4 N 2.45-2.60
Ca: 0.5000 0.0000 0.5000  4 N 2.45-2.60
Ca: 0.5000 0.5000 0.0000  4 N 2.50
Pa: 0.0000 0.0000 0.5000  6 N 2.29-2.47
Pa: 0.0000 0.5000 0.0000  6 N 2.24-2.44
Pa: 0.5000 0.0000 0.0000  6 N 2.24-2.44
Ir: 0.5000 0.5000 0.5000  4 N 2.25
N: 0.2147 0.2147 0.1774  2 Pa 2.24, 1 Ca 2.30
N: 0.2313 0.2313 0.7440  3 Pa 2.33-2.47, 2 Ca 2.45
N: 0.2320 0.7235 0.2545  1 Ir 2.25, 2 Pa 2.29-2.44, 1 Ca 2.50
N: 0.2765 0.7680 0.7455  1 Ir 2.25, 2 Pa 2.29-2.44, 1 Ca 2.50
N: 0.7235 0.2320 0.2545  1 Ir 2.25, 2 Pa 2.29-2.44, 1 Ca 2.50
N: 0.7680 0.2765 0.7455  1 Ir 2.25, 2 Pa 2.29-2.44, 1 Ca 2.50
N: 0.7687 0.7687 0.2560  3 Pa 2.33-2.47, 2 Ca 2.45
N: 0.7853 0.7853 0.8226  2 Pa 2.24, 1 Ca 2.30